8
Lattice="8.132 0.000 0.000 0.000 4.853 0.000 -2.840 0.000 7.709" Properties=species:S:1:pos:R:3 comment="PBE Ba4SbBrCl2, relaxed" magmom_total_mub_per_fu=0.18 e_tot_ev_per_atom=-3.790 spacegroup="P2/m, No. 10" formation_energy_uncorrected_mev_per_atom=-1642 pbc="T T T"
Ba 1.278 0.000 1.883
Ba -0.148 2.427 5.797
Ba 5.440 2.427 1.912
Ba 4.013 0.000 5.826
Sb 4.066 0.000 0.000
Br 2.646 2.427 3.855
Cl -1.420 0.000 3.855
Cl 0.000 2.427 0.000

12
Lattice="10.559 -2.476 0.000 10.559 2.476 0.000 -2.208 0.000 9.337" Properties=species:S:1:pos:R:3 comment="PBE Ba6Sb2Br3Cl, relaxed" magmom_total_mub_per_fu=0.00 e_tot_ev_per_atom=-3.786 spacegroup="C2/m, No. 12" formation_energy_uncorrected_mev_per_atom=-1566 pbc="T T T"
Ba 20.574 0.000 2.281
Ba -1.663 0.000 7.057
Ba 6.026 0.000 3.974
Ba 5.119 0.000 8.542
Ba 13.792 0.000 0.796
Ba 12.885 0.000 5.363
Sb 2.695 0.000 3.017
Sb 16.216 0.000 6.320
Br 1.737 0.000 7.797
Br 9.456 0.000 4.669
Br 17.175 0.000 1.540
Cl 10.559 0.000 0.000

5
Lattice="5.559 0.000 0.000 0.000 5.559 0.000 0.000 0.000 5.099" Properties=species:S:1:pos:R:3 comment="PBE BaSeBr2Cl, relaxed" de_polymorph_mev_per_atom=0.0 magmom_total_mub_per_fu=0.66 e_tot_ev_per_atom=-2.822 spacegroup="P4/mmm, No. 123" formation_energy_uncorrected_mev_per_atom=-702 pbc="T T T"
Ba 0.000 0.000 0.000
Se 2.780 2.780 0.000
Br 0.000 2.780 2.550
Br 2.780 0.000 2.550
Cl 2.780 2.780 2.550

5
Lattice="6.261 0.000 0.000 0.000 6.261 0.000 0.000 0.000 6.956" Properties=species:S:1:pos:R:3 comment="PBE BaSeBr2Cl, relaxed" de_polymorph_mev_per_atom=211.7 magmom_total_mub_per_fu=3.05 e_tot_ev_per_atom=-2.611 spacegroup="P4/mmm, No. 123" formation_energy_uncorrected_mev_per_atom=-491 pbc="T T T"
Ba 0.000 0.000 0.000
Se 0.000 0.000 3.478
Br 0.000 3.130 0.000
Br 3.130 0.000 0.000
Cl 3.130 3.130 3.478

5
Lattice="6.700 0.000 0.000 0.000 6.700 0.000 0.000 0.000 6.111" Properties=species:S:1:pos:R:3 comment="PBE BaSe2BrCl, relaxed" de_polymorph_mev_per_atom=523.1 magmom_total_mub_per_fu=4.01 e_tot_ev_per_atom=-2.621 spacegroup="P4/mmm, No. 123" formation_energy_uncorrected_mev_per_atom=-138 pbc="T T T"
Ba 0.000 0.000 0.000
Se 0.000 3.350 0.000
Se 3.350 0.000 0.000
Br 0.000 0.000 3.055
Cl 3.350 3.350 3.055

5
Lattice="4.915 0.000 0.000 0.000 4.915 0.000 0.000 0.000 6.430" Properties=species:S:1:pos:R:3 comment="PBE BaSe2BrCl, relaxed" de_polymorph_mev_per_atom=0.0 magmom_total_mub_per_fu=0.00 e_tot_ev_per_atom=-3.144 spacegroup="P4/mmm, No. 123" formation_energy_uncorrected_mev_per_atom=-661 pbc="T T T"
Ba 0.000 0.000 0.000
Se 0.000 2.458 3.215
Se 2.458 0.000 3.215
Br 2.458 2.458 0.000
Cl 2.458 2.458 3.215

8
Lattice="8.114 0.000 0.000 0.000 4.802 0.000 -2.775 0.000 7.864" Properties=species:S:1:pos:R:3 comment="PBE Ba4SiBr2Cl, relaxed" magmom_total_mub_per_fu=0.00 e_tot_ev_per_atom=-3.709 spacegroup="P2/m, No. 10" formation_energy_uncorrected_mev_per_atom=-1421 pbc="T T T"
Ba 1.264 0.000 1.775
Ba -0.167 2.401 6.063
Ba 5.506 2.401 1.801
Ba 4.074 0.000 6.090
Si 0.000 2.401 0.000
Br -1.388 0.000 3.932
Br 2.669 2.401 3.932
Cl 4.057 0.000 0.000

9
Lattice="3.705 -6.417 0.000 3.705 6.417 0.000 -0.015 0.000 6.780" Properties=species:S:1:pos:R:3 comment="PBE BaVBrCl6, relaxed" magmom_total_mub_per_fu=0.01 e_tot_ev_per_atom=-3.935 spacegroup="C2, No. 5" formation_energy_uncorrected_mev_per_atom=-1291 pbc="T T T"
Ba 0.000 0.000 0.000
V 3.705 -2.139 0.000
Br 3.698 2.138 3.390
Cl 1.823 -2.070 5.408
Cl 2.711 -0.556 1.373
Cl 4.685 -0.556 5.407
Cl 2.830 -3.791 1.371
Cl 4.565 -3.791 5.409
Cl 5.573 -2.070 1.373

4
Lattice="4.713 0.000 0.000 0.000 4.713 0.000 0.000 0.000 6.509" Properties=species:S:1:pos:R:3 comment="PBE Ba2CoBr, relaxed" de_polymorph_mev_per_atom=48.8 magmom_total_mub_per_fu=0.37 e_tot_ev_per_atom=-3.578 spacegroup="P4mm, No. 99" formation_energy_uncorrected_mev_per_atom=-422 pbc="T T T"
Ba 0.000 0.000 0.000
Ba 2.357 2.357 3.020
Co 0.000 0.000 2.875
Br 2.357 2.357 6.256

4
Lattice="-2.028 2.067 8.521 2.028 -2.067 8.521 2.028 2.067 -8.521" Properties=species:S:1:pos:R:3 comment="PBE Ba2CoBr, relaxed" de_polymorph_mev_per_atom=69.1 magmom_total_mub_per_fu=0.22 e_tot_ev_per_atom=-3.558 spacegroup="Imm2, No. 44" formation_energy_uncorrected_mev_per_atom=-402 pbc="T T T"
Ba 0.000 0.000 0.000
Ba 0.000 2.067 3.708
Co 0.000 0.000 9.983
Br 2.028 0.000 5.619

4
Lattice="0.000 3.503 3.503 3.503 0.000 3.503 3.503 3.503 0.000" Properties=species:S:1:pos:R:3 comment="PBE BaCo2Br, relaxed" de_polymorph_mev_per_atom=926.0 magmom_total_mub_per_fu=2.93 e_tot_ev_per_atom=-3.559 spacegroup="Fm-3m, No. 225" formation_energy_uncorrected_mev_per_atom=893 pbc="T T T"
Ba 0.000 0.000 0.000
Co 1.752 1.752 1.752
Co 5.255 5.255 5.255
Br 3.503 3.503 3.503

5
Lattice="4.603 0.000 0.000 0.000 4.603 0.000 0.000 0.000 4.603" Properties=species:S:1:pos:R:3 comment="PBE BaCo3Br, relaxed" de_polymorph_mev_per_atom=0.0 magmom_total_mub_per_fu=2.24 e_tot_ev_per_atom=-4.104 spacegroup="Pm-3m, No. 221" formation_energy_uncorrected_mev_per_atom=879 pbc="T T T"
Ba 0.000 0.000 0.000
Co 0.000 2.302 2.302
Co 2.302 0.000 2.302
Co 2.302 2.302 0.000
Br 2.302 2.302 2.302

6
Lattice="6.382 -2.104 0.000 6.382 2.104 0.000 -6.098 0.000 6.393" Properties=species:S:1:pos:R:3 comment="PBE BaCoBr, relaxed" de_polymorph_mev_per_atom=236.2 magmom_total_mub_per_fu=1.01 e_tot_ev_per_atom=-4.034 spacegroup="C2/m, No. 12" formation_energy_uncorrected_mev_per_atom=-467 pbc="T T T"
Ba -1.585 0.000 1.688
Ba 8.251 0.000 4.706
Co 2.549 0.000 2.441
Co 4.117 0.000 3.952
Br -1.095 0.000 5.096
Br 7.761 0.000 1.297

6
Lattice="4.224 0.000 0.000 -2.112 3.658 0.000 0.000 0.000 9.340" Properties=species:S:1:pos:R:3 comment="PBE BaCoBr, relaxed" de_polymorph_mev_per_atom=512.4 magmom_total_mub_per_fu=0.00 e_tot_ev_per_atom=-3.758 spacegroup="P6_3/mmc, No. 194" formation_energy_uncorrected_mev_per_atom=-191 pbc="T T T"
Ba 0.000 0.000 0.000
Ba 0.000 0.000 4.670
Co 0.000 2.438 2.335
Co 2.112 1.219 7.005
Br 0.000 2.438 7.005
Br 2.112 1.219 2.335

3
Lattice="4.291 0.000 0.000 -2.145 3.716 0.000 0.000 0.000 4.593" Properties=species:S:1:pos:R:3 comment="PBE BaCoBr, relaxed" de_polymorph_mev_per_atom=539.4 magmom_total_mub_per_fu=0.00 e_tot_ev_per_atom=-3.731 spacegroup="P-6m2, No. 187" formation_energy_uncorrected_mev_per_atom=-164 pbc="T T T"
Ba 0.000 0.000 0.000
Co 0.000 2.477 2.297
Br 2.145 1.239 2.297

6
Lattice="4.064 0.000 0.000 -0.001 4.637 0.000 -1.982 -0.018 9.709" Properties=species:S:1:pos:R:3 comment="PBE BaCoBr, relaxed" de_polymorph_mev_per_atom=154.9 magmom_total_mub_per_fu=1.25 e_tot_ev_per_atom=-4.116 spacegroup="P1, No. 1" formation_energy_uncorrected_mev_per_atom=-549 pbc="T T T"
Ba 0.000 0.000 0.000
Ba 0.047 2.303 4.891
Co 0.048 4.623 7.170
Co 2.080 4.623 6.202
Br 0.047 2.303 8.300
Br 2.078 2.301 2.097

6
Lattice="5.141 0.000 0.000 0.000 5.141 0.000 0.000 0.000 7.658" Properties=species:S:1:pos:R:3 comment="PBE BaCoBr, relaxed" de_polymorph_mev_per_atom=654.2 magmom_total_mub_per_fu=2.00 e_tot_ev_per_atom=-3.616 spacegroup="P4/nmm, No. 129" formation_energy_uncorrected_mev_per_atom=-49 pbc="T T T"
Ba 1.285 1.285 1.715
Ba 3.856 3.856 5.943
Co 1.285 1.285 6.026
Co 3.856 3.856 1.632
Br 1.285 3.856 3.829
Br 3.856 1.285 3.829

4
Lattice="5.844 -1.850 0.000 5.844 1.850 0.000 -2.061 0.000 5.252" Properties=species:S:1:pos:R:3 comment="PBE BaCo2Br, relaxed" de_polymorph_mev_per_atom=123.2 magmom_total_mub_per_fu=3.02 e_tot_ev_per_atom=-4.362 spacegroup="C2/m, No. 12" formation_energy_uncorrected_mev_per_atom=90 pbc="T T T"
Ba 0.000 0.000 0.000
Co 3.137 0.000 0.601
Co 6.489 0.000 4.651
Br 4.813 0.000 2.626

80
Lattice="-8.367 8.367 8.367 8.367 -8.367 8.367 8.367 8.367 -8.367" Properties=species:S:1:pos:R:3 comment="PBE Ba3Co5Br12, relaxed" magmom_total_mub_per_fu=11.00 e_tot_ev_per_atom=-3.948 spacegroup="Ia-3d, No. 230" formation_energy_uncorrected_mev_per_atom=-879 pbc="T T T"
Ba 4.183 2.092 0.000
Ba 8.367 4.183 -2.092
Ba 2.092 0.000 4.183
Ba 10.459 0.000 4.183
Ba 0.000 4.183 2.092
Ba 4.183 -2.092 8.367
Ba 4.183 10.459 0.000
Ba 8.367 4.183 6.275
Ba -2.092 8.367 4.183
Ba 6.275 8.367 4.183
Ba 0.000 4.183 10.459
Ba 4.183 6.275 8.367
Co 0.000 0.000 0.000
Co 4.183 4.183 -4.183
Co 4.183 -4.183 4.183
Co 8.367 0.000 0.000
Co 12.550 2.092 0.000
Co 8.367 -4.183 6.275
Co 6.275 8.367 -4.183
Co 6.275 0.000 4.183
Co 4.183 6.275 0.000
Co 8.367 4.183 2.092
Co -4.183 4.183 4.183
Co 0.000 8.367 0.000
Co 0.000 0.000 8.367
Co 4.183 4.183 4.183
Co 0.000 4.183 6.275
Co 4.183 2.092 8.367
Co 2.092 8.367 4.183
Co 2.092 0.000 12.550
Co 0.000 12.550 2.092
Co -4.183 6.275 8.367
Br 2.438 -0.585 0.873
Br 10.113 5.056 -4.769
Br 10.805 0.585 0.873
Br 10.113 -3.310 4.769
Br 7.781 -0.873 2.438
Br 13.136 -1.746 3.310
Br 0.873 2.438 -0.585
Br 11.677 3.598 -1.746
Br 5.056 4.769 -1.746
Br 7.494 2.438 0.585
Br -0.585 0.873 2.438
Br 4.769 -1.746 5.056
Br 7.781 7.494 -2.438
Br 4.769 1.746 3.310
Br 5.056 -4.769 10.113
Br 7.494 -2.438 7.781
Br 3.310 4.769 1.746
Br 9.240 5.929 0.585
Br 4.769 10.113 -3.310
Br 7.781 0.873 5.929
Br 2.438 7.781 -0.873
Br 10.113 3.310 3.598
Br 1.746 3.310 4.769
Br 2.438 0.585 7.494
Br 5.929 7.781 0.873
Br 6.621 5.056 3.598
Br -1.746 5.056 4.769
Br 5.929 0.585 9.240
Br 0.585 7.494 2.438
Br 3.598 -1.746 11.677
Br -0.873 2.438 7.781
Br 5.056 3.598 6.621
Br 0.873 10.805 0.585
Br 3.310 13.136 -1.746
Br 3.598 6.621 5.056
Br 0.585 0.873 10.805
Br 3.598 10.113 3.310
Br 8.952 7.494 5.929
Br 0.873 5.929 7.781
Br 3.310 3.598 10.113
Br -3.310 4.769 10.113
Br 7.494 5.929 8.952
Br -4.769 10.113 5.056
Br 0.585 9.240 5.929
Br -1.746 11.677 3.598
Br -2.438 7.781 7.494
Br -1.746 3.310 13.136
Br 5.929 8.952 7.494

4
Lattice="-1.876 3.044 4.357 1.876 -3.044 4.357 1.876 3.044 -4.357" Properties=species:S:1:pos:R:3 comment="PBE BaCo2Br, relaxed" de_polymorph_mev_per_atom=191.9 magmom_total_mub_per_fu=3.00 e_tot_ev_per_atom=-4.293 spacegroup="Imm2, No. 44" formation_energy_uncorrected_mev_per_atom=158 pbc="T T T"
Ba 0.000 0.000 0.000
Co 0.000 0.000 4.624
Co 0.000 3.044 1.494
Br 1.876 0.000 2.827

6
Lattice="0.000 4.606 4.606 4.606 0.000 4.606 4.606 4.606 0.000" Properties=species:S:1:pos:R:3 comment="PBE BaCoBr4, relaxed" de_polymorph_mev_per_atom=1278.2 magmom_total_mub_per_fu=4.90 e_tot_ev_per_atom=-2.566 spacegroup="F-43m, No. 216" formation_energy_uncorrected_mev_per_atom=54 pbc="T T T"
Ba 0.000 0.000 0.000
Co 2.303 2.303 2.303
Br 5.756 3.457 3.457
Br 3.457 5.756 3.457
Br 3.457 3.457 5.756
Br 5.756 5.756 5.756

4
Lattice="0.000 3.999 3.999 3.999 0.000 3.999 3.999 3.999 0.000" Properties=species:S:1:pos:R:3 comment="PBE Ba2CoBr, relaxed" de_polymorph_mev_per_atom=211.3 magmom_total_mub_per_fu=0.37 e_tot_ev_per_atom=-3.415 spacegroup="Fm-3m, No. 225" formation_energy_uncorrected_mev_per_atom=-259 pbc="T T T"
Ba 2.000 2.000 2.000
Ba 5.999 5.999 5.999
Co 0.000 0.000 0.000
Br 3.999 3.999 3.999

4
Lattice="-2.292 2.292 6.861 2.292 -2.292 6.861 2.292 2.292 -6.861" Properties=species:S:1:pos:R:3 comment="PBE Ba2CoBr, relaxed" de_polymorph_mev_per_atom=303.3 magmom_total_mub_per_fu=0.83 e_tot_ev_per_atom=-3.323 spacegroup="I-4m2, No. 119" formation_energy_uncorrected_mev_per_atom=-167 pbc="T T T"
Ba 0.000 0.000 0.000
Ba 0.000 2.292 3.430
Co 0.000 0.000 6.861
Br 2.292 0.000 3.430

4
Lattice="0.000 3.645 3.645 3.645 0.000 3.645 3.645 3.645 0.000" Properties=species:S:1:pos:R:3 comment="PBE BaCo2Br, relaxed" de_polymorph_mev_per_atom=633.1 magmom_total_mub_per_fu=3.82 e_tot_ev_per_atom=-3.852 spacegroup="F-43m, No. 216" formation_energy_uncorrected_mev_per_atom=600 pbc="T T T"
Ba 0.000 0.000 0.000
Co 1.823 1.823 1.823
Co 3.645 3.645 3.645
Br 5.468 5.468 5.468